# PBE AcMg10Tl2, relaxed
# **Calculated formation energy**: -6 kJ per mole of atoms
data_AcMg10Tl2
_chemical_formula_sum 'Ac4 Mg40 Tl8'
_cell_length_a 6.072
_cell_length_b 14.611
_cell_length_c 14.789
_cell_angle_alpha 90.00
_cell_angle_beta 90.00
_cell_angle_gamma 90.00
_symmetry_space_group_name_H-M 'F m m m'
_symmetry_Int_Tables_number 69
_symmetry_space_group_name_Hall '-F 2 2'
loop_
_atom_site_label
_atom_site_fract_x
_atom_site_fract_y
_atom_site_fract_z
_atom_site_occupancy
Ac1 0.000 0.000 0.000 1
Mg1 0.000 0.107 0.392 1
Mg2 0.000 0.176 0.180 1
Mg3 0.250 0.000 0.250 1
Tl1 0.250 0.250 0.000 1